No. 1
Below is a PBEsol-optimized structure of Tl2Cd2In, with properties calculated at the meta-GGA SCAN level.

abc: 7.7140 7.7140 4.3255
angles: 90.00 90.00 90.00
Space group P4/mbm (No. 127)
Asymmetric unit:
1 Tl 0.1698 0.3302 0.0000 [4 per cell]
2 Cd 0.1325 0.6325 0.5000 [4 per cell]
3 In 0.0000 0.0000 0.5000 [2 per cell]

Properties
D(E_F): 3.67 states/eV per cell
V: 257 Å³ per cell
E: -477.03 eV per cell

---

No. 2
Below is a PBEsol-optimized structure of TlCdIn2, with properties calculated at the meta-GGA SCAN level.

abc: 3.4366 5.3946 10.9059
angles: 90.00 90.00 90.00
Space group Imm2 (No. 44)
Asymmetric unit:
1 Tl 0.0000 0.0000 0.0000 [2 per cell]
2 Cd 0.0000 0.5000 0.7484 [2 per cell]
3 In 0.0000 0.0000 0.4843 [2 per cell]
4 In 0.0000 0.5000 0.2367 [2 per cell]

Properties
D(E_F): 3.70 states/eV per cell
V: 202 Å³ per cell
E: -338.32 eV per cell

---

No. 3
Below is a PBEsol-optimized structure of TlCd2In, with properties calculated at the meta-GGA SCAN level.

abc: 3.2017 3.2017 9.4123
angles: 90.00 90.00 90.00
Space group P4/mmm (No. 123)
Asymmetric unit:
1 Tl 0.0000 0.0000 0.0000 [1 per cell]
2 Cd 0.5000 0.5000 0.2579 [2 per cell]
3 In 0.0000 0.0000 0.5000 [1 per cell]

Properties
ΔE to the lowest computed polymorph: 0.029 eV/atom
D(E_F): 1.78 states/eV per cell
V: 96 Å³ per cell
E: -166.24 eV per cell

---

No. 4
Below is a PBEsol-optimized structure of TlCdIn2, with properties calculated at the meta-GGA SCAN level.

abc: 11.3455 3.4025 5.3984
angles: 90.00 105.94 90.00
Space group C2/m (No. 12)
Asymmetric unit:
1 Tl 0.0000 0.0000 0.0000 [2 per cell]
2 Cd 0.0000 0.5000 0.5000 [2 per cell]
3 In 0.2388 0.0000 0.7417 [4 per cell]

Properties
D(E_F): 3.43 states/eV per cell
V: 200 Å³ per cell
E: -338.47 eV per cell

---

No. 5
Below is a PBEsol-optimized structure of TlCdIn2, with properties calculated at the meta-GGA SCAN level.

abc: 3.2771 3.2771 32.1916
angles: 90.00 90.00 120.00
Space group R3m (No. 160, hexagonal axes)
Asymmetric unit:
1 Tl 0.0000 0.0000 0.0000 [3 per cell]
2 Cd 0.0000 0.0000 0.2504 [3 per cell]
3 In 0.0000 0.0000 0.5048 [3 per cell]
4 In 0.0000 0.0000 0.7543 [3 per cell]

Properties
D(E_F): 4.56 states/eV per cell
V: 299 Å³ per cell
E: -507.77 eV per cell

---

No. 6
Below is a PBEsol-optimized structure of TlCdIn2, with properties calculated at the meta-GGA SCAN level.

abc: 3.3410 3.3410 8.9386
angles: 90.00 90.00 90.00
Space group P4mm (No. 99)
Asymmetric unit:
1 Tl 0.0000 0.0000 0.0000 [1 per cell]
2 Cd 0.5000 0.5000 0.2466 [1 per cell]
3 In 0.0000 0.0000 0.4770 [1 per cell]
4 In 0.5000 0.5000 0.7300 [1 per cell]

Properties
D(E_F): 1.56 states/eV per cell
V: 100 Å³ per cell
E: -169.26 eV per cell